The following is a PBE calculation of an optimized crystal structure of TbHo2Zn, from Alexandria via LeMat-Bulk.

The structure in CIF format:
```
data_TbHo2Zn
_symmetry_space_group_name_H-M 'P 4/m m m'
_symmetry_Int_Tables_number 123
_symmetry_space_group_name_Hall '-P 4 2'
_cell_length_a 3.5470
_cell_length_b 3.5470
_cell_length_c 8.5986
_cell_angle_alpha 90.00
_cell_angle_beta 90.00
_cell_angle_gamma 90.00
loop_
_atom_site_label
_atom_site_type_symbol
_atom_site_fract_x
_atom_site_fract_y
_atom_site_fract_z
Tb1 Tb 0.0000 0.0000 0.0000
Ho1 Ho 0.5000 0.5000 0.2936
Zn1 Zn 0.0000 0.0000 0.5000
```

E_form: -0.1622 eV/atom
offset from the most stable computed form: 0.0 meV/atom
total DFT energy (no corrections): -3.927 eV/atom